Record 1
Nd2HgIr | Alexandria | PBE | optimized geometry; crystal system = trigonal; symmetry = R-3m; energy of formation = -540 meV per atom; distance to the lowest polymorph of the same formula = 9.7 meV/atom
1.0
4.155 0.000 0.000
2.078 3.599 0.000
2.078 1.200 7.791
Ir Nd Hg
1 2 1
Cartesian
0.000 0.000 0.000
2.078 1.200 1.565
6.233 3.599 6.226
4.155 2.399 3.895

---

Record 2
MnNbCoHSe2 | Alexandria | PBE | optimized geometry; crystal system = monoclinic; symmetry = Pm; distance to the lowest polymorph of the same formula = 123.9 meV/atom
1.0
4.586 0.000 -0.009
0.000 3.234 0.000
-1.453 0.000 5.932
Mn Nb Co H Se
1 1 1 1 2
Cartesian
1.334 1.617 0.345
3.711 0.000 0.683
2.056 1.617 4.750
0.217 1.617 1.483
0.154 0.000 4.616
2.545 1.617 2.394

---

| no. | density (g/cm³) | spin magnetization (μB/cell) |
| --- | --- | --- |
| 1 | 9.71 | 0.0 |
| 2 | 6.90 | 0.2 |